Material: Te2AsW
Method: DFT, PBE
State: relaxed

Size of the total moment (Bohr magnetons per cell): 0.00
Crystal system: orthorhombic
VASP energy (eV per formula unit): -20.0

abc: 3.388 5.339 4.705
angles: 90.00 90.00 90.00
Element x y z (fractional)
As1 0.000 0.500 0.500
Te1 0.500 0.500 0.000
Te2 0.000 0.000 0.000
W1 0.500 0.000 0.500



Material: Ba2LiCu
Method: DFT, PBE
State: relaxed

Size of the total moment (Bohr magnetons per cell): 0.00
Crystal system: orthorhombic
VASP energy (eV per formula unit): -9.7
DFT formation energy (eV per atom): 0.050

abc: 4.033 4.059 9.749
angles: 65.41 90.00 90.00
Element x y z (fractional)
Li1 0.500 0.750 0.750
Ba1 0.000 0.964 0.037
Ba2 0.000 0.536 0.463
Cu1 0.500 0.250 0.250